No. 1
meta-GGA SCAN Ti3BeTl, PBEsol geometry; E_tot = -117.3 eV/cell; formation enthalpy at 0 K = 1.5056 eV per atom
1.0
4.970 0.000 0.000
0.000 4.970 0.000
0.000 0.000 4.970
Ti Be Tl
3 1 1
Direct
0.000 0.000 0.500 Ti
0.000 0.500 0.000 Ti
0.500 0.000 0.000 Ti
0.500 0.500 0.500 Be
0.000 0.000 0.000 Tl

***

No. 2
meta-GGA SCAN YTi3Be, PBEsol geometry; E_tot = -71.0 eV/cell; formation enthalpy at 0 K = 1.8534 eV per atom
1.0
4.648 0.000 0.000
0.000 4.648 0.000
0.000 0.000 4.648
Y Ti Be
1 3 1
Direct
0.000 0.000 0.000 Y
0.000 0.000 0.500 Ti
0.000 0.500 0.000 Ti
0.500 0.000 0.000 Ti
0.500 0.500 0.500 Be

***

No. 3
meta-GGA SCAN YTi2Be, PBEsol geometry; E_tot = -122.9 eV/cell; formation enthalpy at 0 K = 0.6977 eV per atom
1.0
-2.108 2.108 9.327
2.108 -2.108 9.327
2.108 2.108 -9.327
Y Ti Be
2 4 2
Direct
0.000 0.000 0.000 Y
0.750 0.250 0.500 Y
0.337 0.125 0.712 Ti
0.375 0.663 0.788 Ti
0.413 0.625 0.288 Ti
0.875 0.587 0.212 Ti
0.250 0.750 0.500 Be
0.500 0.500 0.000 Be

***

No. 4
meta-GGA SCAN YTiBe3, PBEsol geometry; E_tot = -47.6 eV/cell; formation enthalpy at 0 K = 1.8568 eV per atom
1.0
4.507 0.000 0.000
0.000 4.507 0.000
0.000 0.000 4.507
Y Ti Be
1 1 3
Direct
0.000 0.000 0.000 Y
0.500 0.500 0.500 Ti
0.000 0.000 0.500 Be
0.000 0.500 0.000 Be
0.500 0.000 0.000 Be